(1)
Below is a geometry-optimized LiEr2Zr structure, with properties calculated at the PBE-GGA level.

Values from the calculation:
For the magnetic moment, the calculation gives 0.000 μB per atom. The density of states at the Fermi level is 0.96 states/eV per atom. As for the space group: No. 123. For the total energy, the calculation gives -0.177 hartree per atom. Its formation energy from the elements is 68 meV per atom.

a b c (Å): 3.4129 3.4129 8.9106
angles (deg): 90.00 90.00 90.00
Last column: nearest neighbours and their distance in Å.
Sites, in units of the cell vectors:
Li: 0.5000 0.5000 0.0000  8 Er 3.29, 4 Li 3.41
Zr: 0.5000 0.5000 0.5000  8 Er 3.28, 4 Zr 3.41
Er: 0.0000 0.0000 0.7488  4 Zr 3.28, 4 Li 3.29, 4 Er 3.41
Er: 0.0000 0.0000 0.2512  4 Zr 3.28, 4 Li 3.29, 4 Er 3.41

***

(2)
Below is a geometry-optimized Pm2GeRh2 structure, with properties calculated at the PBE-GGA level.

Values from the calculation:
For the magnetic moment, the calculation gives 0.000 μB per atom. The density of states at the Fermi level is 0.80 states/eV per atom. As for the space group: No. 71. For the total energy, the calculation gives -0.241 hartree per atom. Its formation energy from the elements is -806 meV per atom.

a b c (Å): 4.1991 5.8022 5.6274
angles (deg): 121.03 111.91 90.00
Last column: nearest neighbours and their distance in Å.
Sites, in units of the cell vectors:
Pm: 0.7974 0.2974 0.5947  6 Rh 2.99-3.07, 2 Ge 3.33
Pm: 0.2026 0.7026 0.4053  6 Rh 2.99-3.07, 2 Ge 3.33
Ge: 0.0000 0.0000 0.0000  4 Rh 2.58
Rh: 0.5000 0.7401 0.0000  2 Ge 2.58, 1 Rh 2.79
Rh: 0.5000 0.2599 0.0000  2 Ge 2.58, 1 Rh 2.79

***

(3)
Below is a geometry-optimized Pm6CuHg structure, with properties calculated at the PBE-GGA level.

Values from the calculation:
For the magnetic moment, the calculation gives 0.000 μB per atom. The density of states at the Fermi level is 1.21 states/eV per atom. As for the space group: No. 139. For the total energy, the calculation gives -0.156 hartree per atom. Its formation energy from the elements is -127 meV per atom.

a b c (Å): 5.2091 5.2091 9.5956
angles (deg): 74.25 74.26 90.00
Last column: nearest neighbours and their distance in Å.
Sites, in units of the cell vectors:
Pm: 0.7495 0.7495 0.5010  12 Pm 3.65-3.68
Pm: 0.6057 0.1055 0.7890  2 Cu 3.20-3.21, 2 Hg 3.21
Pm: 0.1056 0.6055 0.7890  2 Hg 3.21, 2 Cu 3.21
Pm: 0.3943 0.8945 0.2110  2 Cu 3.20-3.21, 2 Hg 3.21
Pm: 0.2505 0.2505 0.4990  12 Pm 3.65-3.68
Pm: 0.8944 0.3945 0.2110  2 Hg 3.21, 2 Cu 3.21
Cu: 0.0000 0.0000 0.0000  8 Pm 3.20-3.21
Hg: 0.5000 0.5000 0.0000  8 Pm 3.21

***

(4)
Below is a geometry-optimized BaZn2F structure, with properties calculated at the PBE-GGA level.

Values from the calculation:
For the magnetic moment, the calculation gives 0.000 μB per atom. The density of states at the Fermi level is 0.84 states/eV per atom. As for the space group: No. 225. As for the uncorrected formation energy: -0.554 eV/atom. For the total energy, the calculation gives -0.079 hartree per atom.

a b c (Å): 5.3049 5.3049 5.3049
angles (deg): 60.00 60.00 60.00
Last column: nearest neighbours and their distance in Å.
Sites, in units of the cell vectors:
Zn: 0.2500 0.2500 0.2500  4 Ba 3.25, 4 F 3.25
Zn: 0.7500 0.7500 0.7500  4 Ba 3.25, 4 F 3.25
Ba: 0.5000 0.5000 0.5000  8 Zn 3.25
F: 0.0000 0.0000 0.0000  8 Zn 3.25

***

(5)
Below is a geometry-optimized NiOs2Se structure, with properties calculated at the PBE-GGA level.

Values from the calculation:
For the magnetic moment, the calculation gives 0.000 μB per atom. The density of states at the Fermi level is 0.78 states/eV per atom. As for the space group: No. 71. As for the uncorrected formation energy: 0.546 eV/atom. For the total energy, the calculation gives -0.271 hartree per atom.

a b c (Å): 5.9762 5.9762 5.9762
angles (deg): 152.13 142.89 47.04
Last column: nearest neighbours and their distance in Å.
Sites, in units of the cell vectors:
Ni: 0.2500 0.7500 0.5000  4 Se 2.38
Os: 0.9512 0.9512 0.0000  6 Os 2.61-2.88, 2 Se 2.63, 2 Ni 2.91
Os: 0.5488 0.5488 0.0000  6 Os 2.61-2.88, 2 Se 2.63, 2 Ni 2.91
Se: 0.7500 0.2500 0.5000  4 Ni 2.38, 4 Os 2.63

***

(6)
Below is a geometry-optimized HgTeI2Br structure, with properties calculated at the PBE-GGA level.

Values from the calculation:
For the magnetic moment, the calculation gives 0.466 μB per atom. The density of states at the Fermi level is 1.86 states/eV per atom. As for the space group: No. 123. As for the uncorrected formation energy: 0.397 eV/atom. For the total energy, the calculation gives -0.046 hartree per atom.

a b c (Å): 5.8483 5.8483 5.9028
angles (deg): 90.00 90.00 90.00
Last column: nearest neighbours and their distance in Å.
Sites, in units of the cell vectors:
I: 0.0000 0.5000 0.0000  2 Hg 2.92
I: 0.5000 0.0000 0.0000  2 Hg 2.92
Te: 0.0000 0.0000 0.5000  2 Hg 2.95
Hg: 0.0000 0.0000 0.0000  4 I 2.92, 2 Te 2.95
Br: 0.5000 0.5000 0.5000  4 Te 4.14, 8 I 4.15

***

(7)
Below is a geometry-optimized Cs2TaCdTe4 structure, with properties calculated at the PBE-GGA level.

Values from the calculation:
For the magnetic moment, the calculation gives 0.001 μB per atom. The density of states at the Fermi level is 0.40 states/eV per atom. As for the space group: No. 70. As for the uncorrected formation energy: -0.594 eV/atom. For the total energy, the calculation gives -0.146 hartree per atom.

a b c (Å): 7.2774 8.2964 14.0432
angles (deg): 83.47 74.98 63.99
Last column: nearest neighbours and their distance in Å.
Sites, in units of the cell vectors:
Cs: 0.1796 0.0000 0.6408  8 Te 4.09-4.46, 2 Cd 4.57, 2 Ta 4.57
Cs: 0.8204 0.0000 0.3592  8 Te 4.09-4.46, 2 Ta 4.57, 2 Cd 4.57
Cs: 0.5704 0.5000 0.8592  8 Te 4.09-4.46, 2 Cd 4.57, 2 Ta 4.57
Cs: 0.9296 0.5000 0.1408  8 Te 4.09-4.46, 2 Ta 4.57, 2 Cd 4.57
Ta: 0.2500 0.5000 0.5000  4 Te 2.66
Ta: 0.5000 0.0000 0.0000  4 Te 2.66
Cd: 0.7500 0.5000 0.5000  4 Te 2.90
Cd: 0.0000 0.0000 0.0000  4 Te 2.90
Te: 0.3188 0.8029 0.1102  1 Ta 2.66, 1 Cd 2.90
Te: 0.2319 0.1971 0.8898  1 Ta 2.66, 1 Cd 2.90
Te: 0.8783 0.8029 0.8898  1 Ta 2.66, 1 Cd 2.90
Te: 0.5710 0.1971 0.1102  1 Ta 2.66, 1 Cd 2.90
Te: 0.4312 0.6971 0.3898  1 Ta 2.66, 1 Cd 2.90
Te: 0.5181 0.3029 0.6102  1 Ta 2.66, 1 Cd 2.90
Te: 0.8717 0.6971 0.6102  1 Ta 2.66, 1 Cd 2.90
Te: 0.1790 0.3029 0.3898  1 Ta 2.66, 1 Cd 2.90

***

(8)
Below is a geometry-optimized Co2CuCl structure, with properties calculated at the PBE-GGA level.

Values from the calculation:
For the magnetic moment, the calculation gives 0.941 μB per atom. The density of states at the Fermi level is 1.09 states/eV per atom. As for the space group: No. 123. As for the uncorrected formation energy: 0.440 eV/atom. For the total energy, the calculation gives -0.169 hartree per atom.

a b c (Å): 3.0167 3.0167 5.9868
angles (deg): 90.00 90.00 90.00
Last column: nearest neighbours and their distance in Å.
Sites, in units of the cell vectors:
Co: 0.0000 0.0000 0.0446  1 Co 2.46, 4 Cu 2.46
Co: 0.0000 0.0000 0.4554  1 Co 2.46, 4 Cu 2.46
Cu: 0.5000 0.5000 0.2500  8 Co 2.46
Cl: 0.5000 0.5000 0.7500  8 Co 2.77, 2 Cu 2.99, 4 Cl 3.02

***

(9)
Below is a geometry-optimized TcSe2 structure, with properties calculated at the PBE-GGA level.

Values from the calculation:
For the magnetic moment, the calculation gives 0.000 μB per atom. The density of states at the Fermi level is 0.52 states/eV per atom. As for the space group: No. 8. As for the uncorrected formation energy: -0.140 eV/atom. For the total energy, the calculation gives -0.217 hartree per atom.

a b c (Å): 7.0029 7.0029 8.0469
angles (deg): 66.62 66.62 25.66
Last column: nearest neighbours and their distance in Å.
Sites, in units of the cell vectors:
Tc: 0.1111 0.1111 0.3919  4 Se 2.36-2.51
Tc: 0.7458 0.7458 0.0315  6 Se 2.46-2.60
Se: 0.0918 0.0918 0.0951  3 Tc 2.50-2.51
Se: 0.5835 0.5835 0.6317  2 Tc 2.39
Se: 0.3000 0.3000 0.2386  3 Tc 2.36-2.60
Se: 0.3344 0.3344 0.7779  2 Tc 2.46

***

(10)
Below is a geometry-optimized SmScInPt structure, with properties calculated at the PBE-GGA level.

Values from the calculation:
For the magnetic moment, the calculation gives 0.000 μB per atom. The density of states at the Fermi level is 0.73 states/eV per atom. As for the space group: No. 216. For the total energy, the calculation gives -0.207 hartree per atom. Its formation energy from the elements is -683 meV per atom.

a b c (Å): 5.0527 5.0527 5.0527
angles (deg): 60.00 60.00 60.00
Last column: nearest neighbours and their distance in Å.
Sites, in units of the cell vectors:
Sc: 0.7500 0.7500 0.7500  4 Pt 3.09, 4 In 3.09
Sm: 0.2500 0.2500 0.2500  4 Pt 3.09, 4 In 3.09
Pt: 0.5000 0.5000 0.5000  4 Sc 3.09, 4 Sm 3.09
In: 0.0000 0.0000 0.0000  4 Sm 3.09, 4 Sc 3.09

***

(11)
Below is a geometry-optimized PuPa2Ti structure, with properties calculated at the PBE-GGA level.

Values from the calculation:
For the magnetic moment, the calculation gives 1.104 μB per atom. The density of states at the Fermi level is 2.16 states/eV per atom. As for the space group: No. 63. For the total energy, the calculation gives -0.376 hartree per atom. Its formation energy from the elements is 64 meV per atom.

a b c (Å): 3.0511 6.2029 9.6582
angles (deg): 90.00 90.00 104.24
Last column: nearest neighbours and their distance in Å.
Sites, in units of the cell vectors:
Pu: 0.2467 0.4935 0.2500  2 Pa 2.88, 1 Ti 3.03, 2 Pu 3.05
Pu: 0.7533 0.5065 0.7500  2 Pa 2.88, 1 Ti 3.03, 2 Pu 3.05
Pa: 0.3787 0.7574 0.0013  1 Pu 2.88, 3 Pa 2.92-3.05, 2 Ti 3.17
Pa: 0.6213 0.2426 0.9987  1 Pu 2.88, 3 Pa 2.92-3.05, 2 Ti 3.17
Pa: 0.6213 0.2426 0.5013  1 Pu 2.88, 3 Pa 2.92-3.05, 2 Ti 3.17
Pa: 0.3787 0.7574 0.4987  1 Pu 2.88, 3 Pa 2.92-3.05, 2 Ti 3.17
Ti: 0.9951 0.9903 0.2500  3 Pu 3.03-3.35, 2 Ti 3.05, 8 Pa 3.17-3.24
Ti: 0.0049 0.0097 0.7500  3 Pu 3.03-3.35, 2 Ti 3.05, 8 Pa 3.17-3.24

***

(12)
Below is a geometry-optimized LaRe2Mo structure, with properties calculated at the PBE-GGA level.

Values from the calculation:
For the magnetic moment, the calculation gives 0.000 μB per atom. The density of states at the Fermi level is 1.04 states/eV per atom. As for the space group: No. 12. For the total energy, the calculation gives -0.354 hartree per atom. Its formation energy from the elements is 542 meV per atom.

a b c (Å): 5.0449 5.0449 5.7889
angles (deg): 73.01 73.01 35.88
Last column: nearest neighbours and their distance in Å.
Sites, in units of the cell vectors:
La: 0.7500 0.7500 0.7500  2 La 3.11, 6 Re 3.18-3.33, 4 Mo 3.29
Mo: 0.2500 0.2500 0.2500  4 Re 2.58
Re: 0.9736 0.9736 0.0899  2 Mo 2.58, 2 Re 2.59
Re: 0.5264 0.5264 0.4101  2 Mo 2.58, 2 Re 2.59